(1)
The following is a PBE calculation of RbNdSn2Br8 after structural relaxation, from Alexandria.

Computed properties:
VASP energy, eV per atom: -3.5412
Size of the total moment, μB/cell: 0.000
ΔE_f (raw), eV per atom: -1.281

a b c (Å): 6.8932 7.3772 9.5287
angles (deg): 86.08 87.45 87.86
Positions (direct):
Rb: 0.0000 0.0000 0.0000
Nd: 0.0000 0.0000 0.5000
Sn: 0.4882 0.4845 0.2477
Sn: 0.5118 0.5155 0.7523
Br: 0.2392 0.3251 0.4718
Br: 0.2394 0.8310 0.2842
Br: 0.2583 0.8541 0.7172
Br: 0.2712 0.3758 0.0380
Br: 0.7288 0.6242 0.9620
Br: 0.7417 0.1459 0.2828
Br: 0.7606 0.1690 0.7158
Br: 0.7608 0.6749 0.5282

---

(2)
The following is a PBE calculation of RbSr2NdBr8 after structural relaxation, from Alexandria.

Computed properties:
VASP energy, eV per atom: -3.8303
Size of the total moment, μB/cell: 0.000
ΔE_f (raw), eV per atom: -1.957

a b c (Å): 6.9883 9.5892 7.2760
angles (deg): 90.00 90.08 90.00
Positions (direct):
Rb: 0.0000 0.0000 0.0000
Sr: 0.5000 0.2481 0.5000
Sr: 0.5000 0.7519 0.5000
Nd: 0.0000 0.5000 0.0000
Br: 0.2396 0.2860 0.1597
Br: 0.2396 0.7140 0.1597
Br: 0.2565 0.5000 0.6721
Br: 0.2662 0.0000 0.6236
Br: 0.7338 0.0000 0.3764
Br: 0.7435 0.5000 0.3279
Br: 0.7604 0.2860 0.8403
Br: 0.7604 0.7140 0.8403

---

(3)
The following is a PBE calculation of Rb2NdTe2Br2 after structural relaxation, from Alexandria.

Computed properties:
VASP energy, eV per atom: -3.6658
Size of the total moment, μB/cell: 0.000
ΔE_f (raw), eV per atom: -1.333

a b c (Å): 9.8788 9.8788 9.8788
angles (deg): 144.01 144.01 51.82
Positions (direct):
Rb: 0.1439 0.1439 0.0000
Rb: 0.8561 0.8561 0.0000
Nd: 0.5000 0.5000 0.0000
Te: 0.0000 0.5000 0.5000
Te: 0.5000 0.0000 0.5000
Br: 0.3338 0.3338 0.0000
Br: 0.6662 0.6662 0.0000

---

(4)
The following is a PBE calculation of RbNdTeBr2 after structural relaxation, from Alexandria.

Computed properties:
VASP energy, eV per atom: -4.1053
Size of the total moment, μB/cell: 0.000
ΔE_f (raw), eV per atom: -1.661

a b c (Å): 9.8830 9.8830 8.9986
angles (deg): 90.00 90.00 153.19
Positions (direct):
Rb: 0.2080 0.7920 0.7500
Rb: 0.7920 0.2080 0.2500
Nd: 0.5000 0.5000 0.0000
Nd: 0.5000 0.5000 0.5000
Te: 0.0031 0.9969 0.7500
Te: 0.9969 0.0031 0.2500
Br: 0.3500 0.6500 0.5070
Br: 0.3500 0.6500 0.9930
Br: 0.6500 0.3500 0.0070
Br: 0.6500 0.3500 0.4930

---

(5)
The following is a PBE calculation of RbNdTl2Br6 after structural relaxation, from Alexandria.

Computed properties:
VASP energy, eV per atom: -3.5159
Size of the total moment, μB/cell: 0.000
ΔE_f (raw), eV per atom: -1.465

a b c (Å): 8.6514 8.6514 8.6514
angles (deg): 57.27 57.27 57.27
Positions (direct):
Rb: 0.0000 0.0000 0.0000
Nd: 0.5102 0.5102 0.5102
Tl: 0.2031 0.2031 0.2031
Tl: 0.7119 0.7119 0.7119
Br: 0.1624 0.4019 0.7552
Br: 0.3236 0.8703 0.5959
Br: 0.4019 0.7552 0.1624
Br: 0.5959 0.3236 0.8703
Br: 0.7552 0.1624 0.4019
Br: 0.8703 0.5959 0.3236

---

(6)
The following is a PBE calculation of Nd2ReBr after structural relaxation, from Alexandria.

Computed properties:
VASP energy, eV per atom: -5.5388
Size of the total moment, μB/cell: 0.757
ΔE_f (raw), eV per atom: 0.375

a b c (Å): 10.6952 10.6952 10.6952
angles (deg): 17.87 17.87 17.87
Positions (direct):
Nd: 0.0875 0.0875 0.0875
Nd: 0.9125 0.9125 0.9125
Re: 0.0000 0.0000 0.0000
Br: 0.5000 0.5000 0.5000

---

(7)
The following is a PBE calculation of Nd4ReBr5 after structural relaxation, from Alexandria.

Computed properties:
VASP energy, eV per atom: -5.2228
Size of the total moment, μB/cell: 0.000
ΔE_f (raw), eV per atom: -1.234

a b c (Å): 9.6622 9.6622 9.4928
angles (deg): 105.20 105.20 23.85
Positions (direct):
Nd: 0.0023 0.0023 0.2374
Nd: 0.3552 0.3552 0.9218
Nd: 0.6448 0.6448 0.0782
Nd: 0.9977 0.9977 0.7626
Re: 0.5000 0.5000 0.0000
Br: 0.1684 0.1684 0.3249
Br: 0.1691 0.1691 0.8508
Br: 0.5000 0.5000 0.5000
Br: 0.8309 0.8309 0.1492
Br: 0.8316 0.8316 0.6751

---

(8)
The following is a PBE calculation of Nd3RhBr after structural relaxation, from Alexandria.

Computed properties:
VASP energy, eV per atom: -5.3625
Size of the total moment, μB/cell: 0.000
ΔE_f (raw), eV per atom: -0.697

a b c (Å): 3.9014 9.8229 8.0881
angles (deg): 90.00 90.00 90.00
Positions (direct):
Nd: 0.2500 0.0707 0.1660
Nd: 0.2500 0.2500 0.7417
Nd: 0.2500 0.4293 0.1660
Nd: 0.7500 0.5707 0.8340
Nd: 0.7500 0.7500 0.2583
Nd: 0.7500 0.9293 0.8340
Rh: 0.2500 0.7500 0.0187
Rh: 0.7500 0.2500 0.9813
Br: 0.2500 0.7500 0.5736
Br: 0.7500 0.2500 0.4264

---

(9)
The following is a PBE calculation of Nd3RhBr3 after structural relaxation, from Alexandria.

Computed properties:
VASP energy, eV per atom: -5.1545
Size of the total moment, μB/cell: 0.019
ΔE_f (raw), eV per atom: -1.344

a b c (Å): 9.0407 4.0940 12.2177
angles (deg): 90.00 92.59 90.00
Positions (direct):
Nd: 0.1069 0.2500 0.3799
Nd: 0.1222 0.2500 0.8485
Nd: 0.3210 0.7500 0.6217
Nd: 0.6790 0.2500 0.3783
Nd: 0.8778 0.7500 0.1515
Nd: 0.8931 0.7500 0.6201
Rh: 0.1093 0.2500 0.6202
Rh: 0.8907 0.7500 0.3798
Br: 0.1253 0.2500 0.1119
Br: 0.3696 0.7500 0.8712
Br: 0.3945 0.7500 0.3728
Br: 0.6055 0.2500 0.6272
Br: 0.6304 0.2500 0.1288
Br: 0.8747 0.7500 0.8881

---

(10)
The following is a PBE calculation of NdRhBr after structural relaxation, from Alexandria.

Computed properties:
VASP energy, eV per atom: -5.8085
Size of the total moment, μB/cell: 0.000
ΔE_f (raw), eV per atom: -1.211

a b c (Å): 11.1113 11.1113 11.1113
angles (deg): 22.50 22.50 22.50
Positions (direct):
Nd: 0.0574 0.0574 0.0574
Nd: 0.9426 0.9426 0.9426
Rh: 0.3345 0.3345 0.3345
Rh: 0.6655 0.6655 0.6655
Br: 0.2195 0.2195 0.2195
Br: 0.7805 0.7805 0.7805

---

(11)
The following is a PBE calculation of NdRhBr after structural relaxation, from Alexandria.

Computed properties:
VASP energy, eV per atom: -5.5902
Size of the total moment, μB/cell: 0.000
ΔE_f (raw), eV per atom: -0.993

a b c (Å): 11.5246 11.5246 7.9739
angles (deg): 95.61 95.61 19.98
Positions (direct):
Nd: 0.1556 0.1556 0.0955
Nd: 0.1644 0.1644 0.6097
Nd: 0.8356 0.8356 0.3903
Nd: 0.8444 0.8444 0.9045
Rh: 0.2479 0.2479 0.3711
Rh: 0.2572 0.2572 0.8843
Rh: 0.7428 0.7428 0.1157
Rh: 0.7521 0.7521 0.6289
Br: 0.0665 0.0665 0.3348
Br: 0.4067 0.4067 0.1711
Br: 0.5933 0.5933 0.8289
Br: 0.9335 0.9335 0.6652

---

- ΔE_f (raw) of number 4 (RbNdTeBr2)?
  -1.661 eV per atom

---

- Among the records above, which one has the lowest ΔE_f (raw)?
  RbSr2NdBr8